Record 1
Material: Pm2Pr2Dy2Er
Method: DFT, GGA-PBE
State: optimized geometry

Properties
Total energy in eV/atom: -4.56
Magnetic moment in μB per formula unit: 0.00
Space group: R-3m (166)
ΔH_f (0 K) in eV/f.u.: 0.90
DOS at the Fermi energy in states/eV/cell: 15.580

abc: 5.740 5.740 8.913
angles: 71.22 71.22 60.00
Fractional positions:
Pm (0.713, 0.713, 0.860)
Pm (0.287, 0.287, 0.140)
Pr (0.138, 0.138, 0.585)
Pr (0.862, 0.862, 0.415)
Dy (0.571, 0.571, 0.286)
Dy (0.429, 0.429, 0.714)
Er (0.000, 0.000, 0.000)

---

Record 2
Material: KMg14Cr
Method: DFT, GGA-PBE
State: optimized geometry

Properties
Total energy in eV/atom: -1.90
Magnetic moment in μB per formula unit: 4.45
Space group: P-6m2 (187)
ΔH_f (0 K) in eV/f.u.: 2.59
DOS at the Fermi energy in states/eV/cell: 6.524

abc: 6.478 6.478 10.577
angles: 90.00 90.00 120.00
Fractional positions:
K (0.000, 0.000, 0.000)
Mg (0.010, 0.505, 0.000)
Mg (0.993, 0.497, 0.500)
Mg (0.495, 0.990, 0.000)
Mg (0.503, 0.007, 0.500)
Mg (0.495, 0.505, 0.000)
Mg (0.503, 0.497, 0.500)
Mg (0.167, 0.833, 0.267)
Mg (0.167, 0.833, 0.733)
Mg (0.167, 0.334, 0.267)
Mg (0.167, 0.334, 0.733)
Mg (0.666, 0.833, 0.267)
Mg (0.666, 0.833, 0.733)
Mg (0.667, 0.333, 0.241)
Mg (0.667, 0.333, 0.759)
Cr (0.000, 0.000, 0.500)

---

Record 3
Material: KZn2Pb
Method: DFT, GGA-PBE
State: optimized geometry

Properties
Total energy in eV/atom: -1.70
Energy relative to the lowest polymorph listed for this composition in eV per atom: 0.124
Magnetic moment in μB per formula unit: 0.00
Space group: Cmmm (65)
ΔH_f (0 K) in eV/f.u.: 0.54
DOS at the Fermi energy in states/eV/cell: 2.291

abc: 3.884 3.884 7.554
angles: 90.00 90.00 89.68
Fractional positions:
K (0.500, 0.500, 0.250)
Pb (0.500, 0.500, 0.750)
Zn (0.000, 0.000, 0.947)
Zn (0.000, 0.000, 0.553)

---

Record 4
Material: CdSi2P
Method: DFT, GGA-PBE
State: optimized geometry

Properties
Total energy in eV/atom: -4.03
Energy relative to the lowest polymorph listed for this composition in eV per atom: 0.210
Magnetic moment in μB per formula unit: 0.00
Space group: C2/m (12)
Formation energy (no corrections) in meV per atom: 263
DOS at the Fermi energy in states/eV/cell: 1.475

abc: 3.469 3.469 7.220
angles: 75.99 75.99 59.91
Fractional positions:
Cd (0.750, 0.750, 0.750)
P (0.250, 0.250, 0.250)
Si (0.986, 0.986, 0.045)
Si (0.514, 0.514, 0.455)

---

Record 5
Material: KRb2GaHg
Method: DFT, GGA-PBE
State: optimized geometry

Properties
Total energy in eV/atom: -1.06
Energy relative to the lowest polymorph listed for this composition in eV per atom: 0.189
Magnetic moment in μB per formula unit: 0.00
Space group: P4/mmm (123)
ΔH_f (0 K) in eV/f.u.: 1.07
DOS at the Fermi energy in states/eV/cell: 2.924

abc: 6.823 6.559 6.823
angles: 90.00 90.00 90.00
Fractional positions:
K (0.000, 0.500, 0.000)
Ga (0.500, 0.500, 0.500)
Hg (0.000, 0.000, 0.000)
Rb (0.000, 0.000, 0.500)
Rb (0.500, 0.000, 0.000)

---

Record 6
Material: HfZnF
Method: DFT, GGA-PBE
State: optimized geometry

Properties
Total energy in eV/atom: -5.63
Magnetic moment in μB per formula unit: 0.00
Space group: Amm2 (38)
Formation energy (no corrections) in meV per atom: -1264
DOS at the Fermi energy in states/eV/cell: 4.359

abc: 3.002 3.001 13.622
angles: 90.00 90.00 120.01
Fractional positions:
Zn (0.556, 0.112, 0.000)
Zn (0.554, 0.108, 0.500)
F (0.556, 0.112, 0.284)
F (0.556, 0.112, 0.716)
Hf (0.222, 0.445, 0.825)
Hf (0.222, 0.445, 0.175)